Model P:
Entry from the Alexandria database: a relaxed BeGeOs3 crystal (GGA-PBE).

Structure (CIF):
```
data_BeGeOs3
_space_group_name_H-M_alt 'P 1'
_space_group_IT_number 1
_cell_length_a 4.4943
_cell_length_b 4.4943
_cell_length_c 4.4943
_cell_angle_alpha 90.00
_cell_angle_beta 90.00
_cell_angle_gamma 90.00
loop_
_space_group_symop_operation_xyz
'x,y,z'
loop_
_atom_site_label
_atom_site_type_symbol
_atom_site_fract_x
_atom_site_fract_y
_atom_site_fract_z
_atom_site_occupancy
Be1 Be 0.0000 0.0000 0.0000 1
Ge1 Ge 0.5000 0.5000 0.5000 1
Os1 Os 0.0000 0.5000 0.5000 1
Os2 Os 0.5000 0.0000 0.5000 1
Os3 Os 0.5000 0.5000 0.0000 1
```

## Properties
DOS(E_F) in states/eV/atom: 0.9600

Model Q:
Entry from the Alexandria database: a relaxed BeGeOs3 crystal (GGA-PBE).

Structure (CIF):
```
data_BeGeOs3
_space_group_name_H-M_alt 'P 1'
_space_group_IT_number 1
_cell_length_a 4.1316
_cell_length_b 4.1316
_cell_length_c 4.1316
_cell_angle_alpha 90.00
_cell_angle_beta 90.00
_cell_angle_gamma 90.00
loop_
_space_group_symop_operation_xyz
'x,y,z'
loop_
_atom_site_label
_atom_site_type_symbol
_atom_site_fract_x
_atom_site_fract_y
_atom_site_fract_z
_atom_site_occupancy
Be1 Be 0.0000 0.0000 0.0000 1
Ge1 Ge 0.5000 0.5000 0.5000 1
Os1 Os 0.0000 0.0000 0.5000 1
Os2 Os 0.0000 0.5000 0.0000 1
Os3 Os 0.5000 0.0000 0.0000 1
```

## Properties
DOS(E_F) in states/eV/atom: 0.6599

Which of them is the most stable, and which is the least stable? model Q and model P, in that order.

Model P:
Entry from the Alexandria database: a relaxed BeGe3P crystal (GGA-PBE).

Structure (CIF):
```
data_BeGe3P
_space_group_name_H-M_alt 'P 1'
_space_group_IT_number 1
_cell_length_a 4.7482
_cell_length_b 4.7482
_cell_length_c 4.7482
_cell_angle_alpha 90.00
_cell_angle_beta 90.00
_cell_angle_gamma 90.00
loop_
_space_group_symop_operation_xyz
'x,y,z'
loop_
_atom_site_label
_atom_site_type_symbol
_atom_site_fract_x
_atom_site_fract_y
_atom_site_fract_z
_atom_site_occupancy
Be1 Be 0.0000 0.0000 0.0000 1
Ge1 Ge 0.0000 0.5000 0.5000 1
Ge2 Ge 0.5000 0.0000 0.5000 1
Ge3 Ge 0.5000 0.5000 0.0000 1
P1 P 0.5000 0.5000 0.5000 1
```

## Properties
DOS(E_F) in states/eV/atom: 0.5481

Model Q:
Entry from the Alexandria database: a relaxed BeGe3P crystal (GGA-PBE).

Structure (CIF):
```
data_BeGe3P
_space_group_name_H-M_alt 'P 1'
_space_group_IT_number 1
_cell_length_a 4.4744
_cell_length_b 4.4744
_cell_length_c 4.4744
_cell_angle_alpha 90.00
_cell_angle_beta 90.00
_cell_angle_gamma 90.00
loop_
_space_group_symop_operation_xyz
'x,y,z'
loop_
_atom_site_label
_atom_site_type_symbol
_atom_site_fract_x
_atom_site_fract_y
_atom_site_fract_z
_atom_site_occupancy
Be1 Be 0.0000 0.0000 0.0000 1
Ge1 Ge 0.0000 0.0000 0.5000 1
Ge2 Ge 0.0000 0.5000 0.0000 1
Ge3 Ge 0.5000 0.0000 0.0000 1
P1 P 0.5000 0.5000 0.5000 1
```

## Properties
DOS(E_F) in states/eV/atom: 0.4337

Which of them is the most stable, and which is the least stable? model Q and model P, in that order.

Model P:
Entry from the Alexandria database: a relaxed BeGeP3 crystal (GGA-PBE).

Structure (CIF):
```
data_BeGeP3
_space_group_name_H-M_alt 'P 1'
_space_group_IT_number 1
_cell_length_a 4.6610
_cell_length_b 4.6610
_cell_length_c 4.6610
_cell_angle_alpha 90.00
_cell_angle_beta 90.00
_cell_angle_gamma 90.00
loop_
_space_group_symop_operation_xyz
'x,y,z'
loop_
_atom_site_label
_atom_site_type_symbol
_atom_site_fract_x
_atom_site_fract_y
_atom_site_fract_z
_atom_site_occupancy
Be1 Be 0.0000 0.0000 0.0000 1
Ge1 Ge 0.5000 0.5000 0.5000 1
P1 P 0.0000 0.5000 0.5000 1
P2 P 0.5000 0.0000 0.5000 1
P3 P 0.5000 0.5000 0.0000 1
```

## Properties
DOS(E_F) in states/eV/atom: 0.9608

Model Q:
Entry from the Alexandria database: a relaxed BeGeP3 crystal (GGA-PBE).

Structure (CIF):
```
data_BeGeP3
_space_group_name_H-M_alt 'P 1'
_space_group_IT_number 1
_cell_length_a 4.2997
_cell_length_b 4.2997
_cell_length_c 4.2997
_cell_angle_alpha 90.00
_cell_angle_beta 90.00
_cell_angle_gamma 90.00
loop_
_space_group_symop_operation_xyz
'x,y,z'
loop_
_atom_site_label
_atom_site_type_symbol
_atom_site_fract_x
_atom_site_fract_y
_atom_site_fract_z
_atom_site_occupancy
Be1 Be 0.0000 0.0000 0.0000 1
Ge1 Ge 0.5000 0.5000 0.5000 1
P1 P 0.0000 0.0000 0.5000 1
P2 P 0.0000 0.5000 0.0000 1
P3 P 0.5000 0.0000 0.0000 1
```

## Properties
DOS(E_F) in states/eV/atom: 0.5420

Which of them is the most stable, and which is the least stable? model Q and model P, in that order.

Model P:
Entry from the Alexandria database: a relaxed PaBeGe crystal (GGA-PBE).

Structure (CIF):
```
data_PaBeGe
_space_group_name_H-M_alt 'P 1'
_space_group_IT_number 1
_cell_length_a 4.7874
_cell_length_b 4.7874
_cell_length_c 4.7874
_cell_angle_alpha 131.60
_cell_angle_beta 131.60
_cell_angle_gamma 70.86
loop_
_space_group_symop_operation_xyz
'x,y,z'
loop_
_atom_site_label
_atom_site_type_symbol
_atom_site_fract_x
_atom_site_fract_y
_atom_site_fract_z
_atom_site_occupancy
Pa1 Pa 0.0000 0.0000 0.0000 1
Be1 Be 0.6424 0.6424 0.0000 1
Ge1 Ge 0.3586 0.3586 0.0000 1
```

## Properties
DOS(E_F) in states/eV/atom: 1.3498

Model Q:
Entry from the Alexandria database: a relaxed PaBeGe crystal (GGA-PBE).

Structure (CIF):
```
data_PaBeGe
_space_group_name_H-M_alt 'P 1'
_space_group_IT_number 1
_cell_length_a 3.8638
_cell_length_b 3.8638
_cell_length_c 8.2879
_cell_angle_alpha 90.00
_cell_angle_beta 90.00
_cell_angle_gamma 120.00
loop_
_space_group_symop_operation_xyz
'x,y,z'
loop_
_atom_site_label
_atom_site_type_symbol
_atom_site_fract_x
_atom_site_fract_y
_atom_site_fract_z
_atom_site_occupancy
Pa1 Pa 0.0000 0.0000 0.0000 1
Pa2 Pa 0.0000 0.0000 0.5000 1
Be1 Be 0.3333 0.6667 0.2500 1
Be2 Be 0.6667 0.3333 0.7500 1
Ge1 Ge 0.3333 0.6667 0.7500 1
Ge2 Ge 0.6667 0.3333 0.2500 1
```

## Properties
DOS(E_F) in states/eV/atom: 1.4287

Which of them is the most stable, and which is the least stable? model Q and model P, in that order.

Model P:
Entry from the Alexandria database: a relaxed BeGe2Pb crystal (GGA-PBE).

Structure (CIF):
```
data_BeGe2Pb
_space_group_name_H-M_alt 'P 1'
_space_group_IT_number 1
_cell_length_a 7.9981
_cell_length_b 7.9981
_cell_length_c 7.9981
_cell_angle_alpha 142.88
_cell_angle_beta 142.88
_cell_angle_gamma 53.50
loop_
_space_group_symop_operation_xyz
'x,y,z'
loop_
_atom_site_label
_atom_site_type_symbol
_atom_site_fract_x
_atom_site_fract_y
_atom_site_fract_z
_atom_site_occupancy
Be1 Be 0.0000 0.0000 0.0000 1
Be2 Be 0.7500 0.2500 0.5000 1
Ge1 Ge 0.3750 0.2456 0.3706 1
Ge2 Ge 0.7544 0.1250 0.1294 1
Ge3 Ge 0.8750 0.0044 0.6294 1
Ge4 Ge 0.9956 0.6250 0.8706 1
Pb1 Pb 0.2500 0.7500 0.5000 1
Pb2 Pb 0.5000 0.5000 0.0000 1
```

## Properties
DOS(E_F) in states/eV/atom: 0.3940

Model Q:
Entry from the Alexandria database: a relaxed BeGe2Pb crystal (GGA-PBE).

Structure (CIF):
```
data_BeGe2Pb
_space_group_name_H-M_alt 'P 1'
_space_group_IT_number 1
_cell_length_a 4.8985
_cell_length_b 4.8985
_cell_length_c 4.8985
_cell_angle_alpha 60.00
_cell_angle_beta 60.00
_cell_angle_gamma 60.00
loop_
_space_group_symop_operation_xyz
'x,y,z'
loop_
_atom_site_label
_atom_site_type_symbol
_atom_site_fract_x
_atom_site_fract_y
_atom_site_fract_z
_atom_site_occupancy
Be1 Be 0.0000 0.0000 0.0000 1
Ge1 Ge 0.2500 0.2500 0.2500 1
Ge2 Ge 0.7500 0.7500 0.7500 1
Pb1 Pb 0.5000 0.5000 0.5000 1
```

## Properties
DOS(E_F) in states/eV/atom: 0.5440

Which of them is the most stable, and which is the least stable? model P and model Q, in that order.